Entry 1:
Compound: LaMg3Au
Source: Alexandria
Functional: PBEsol
Structure: relaxed

Cell and atoms, written as extended XYZ:
```
5
Lattice="6.0519 0.0000 0.0000 0.0000 6.0519 0.0000 0.0000 0.0000 6.0519" Properties=species:S:1:pos:R:3 pbc="T T T"
Mg 0.0000 3.0259 0.0000
Mg 0.0000 0.0000 3.0259
Mg 3.0259 0.0000 0.0000
Au 3.0259 3.0259 3.0259
La 0.0000 0.0000 0.0000
```

SG   No. 221

---

Entry 2:
Compound: LaMgAu
Source: Alexandria
Functional: PBEsol
Structure: relaxed

Cell and atoms, written as extended XYZ:
```
3
Lattice="4.8974 0.0000 0.0000 2.4487 4.2413 0.0000 2.4487 1.4138 3.9987" Properties=species:S:1:pos:R:3 pbc="T T T"
Au 2.4487 1.4138 0.9997
La 0.0000 0.0000 0.0000
Mg 4.8974 2.8275 1.9994
```

SG   No. 216

---

Entry 3:
Compound: LaMgAu
Source: Alexandria
Functional: PBEsol
Structure: relaxed

Cell and atoms, written as extended XYZ:
```
9
Lattice="4.1629 0.0000 0.0000 0.0000 7.8054 0.0000 0.0000 -3.9027 6.7597" Properties=species:S:1:pos:R:3 pbc="T T T"
Mg 2.0814 -2.9693 5.1430
Mg 2.0814 0.9334 1.6167
Mg 2.0814 5.9387 0.0000
Au 2.0814 0.0000 4.5065
Au 2.0814 3.9027 2.2532
Au 0.0000 0.0000 0.0000
La 0.0000 -1.6210 2.8077
La 0.0000 2.2817 3.9520
La 0.0000 3.2420 0.0000
```

SG   No. 189

---

DFT formation energy in eV per atom, matching the order above: 1.43 -0.47 -0.65
N(E_F) in states/eV/f.u., matching the order above: 6.02 4.24 2.58